No. 1
Te2PtSeCl (GGA-PBE, optimized geometry); space group = No. 123; E_form (uncorrected) = 0.640 eV per atom; V = 29.18 A^3/atom
1.0
5.592 0.000 0.000
0.000 5.592 0.000
0.000 0.000 4.667
Te Pt Se Cl
2 1 1 1
Direct
0.000 0.500 0.000
0.500 0.000 0.000
0.000 0.000 0.500
0.000 0.000 0.000
0.500 0.500 0.500

No. 2
Fe2AgCl7 (GGA-PBE, optimized geometry); space group = No. 65; E_form (uncorrected) = -0.547 eV per atom; V = 38.46 A^3/atom
1.0
4.967 -7.339 0.000
4.967 7.339 0.000
0.000 0.000 5.275
Fe Ag Cl
2 1 7
Direct
0.233 0.233 0.000
0.767 0.767 0.000
0.500 0.500 0.500
0.000 0.000 0.000
0.193 0.458 0.000
0.253 0.253 0.500
0.458 0.193 0.000
0.542 0.807 0.000
0.747 0.747 0.500
0.807 0.542 0.000

No. 3
MgPa4Se7 (GGA-PBE, optimized geometry); space group = No. 164; E_form (uncorrected) = -0.980 eV per atom; V = 22.51 A^3/atom
1.0
5.062 0.000 0.000
-2.531 4.384 0.000
0.000 0.000 12.171
Mg Pa Se
1 4 7
Direct
0.000 0.000 0.000
0.333 0.667 0.181
0.333 0.667 0.412
0.667 0.333 0.588
0.667 0.333 0.819
0.000 0.000 0.213
0.000 0.000 0.500
0.000 0.000 0.787
0.333 0.667 0.646
0.333 0.667 0.936
0.667 0.333 0.064
0.667 0.333 0.354

No. 4
Li4Cu3SnP4O16 (GGA-PBE, optimized geometry); space group = No. 6; E_form (uncorrected) = -1.845 eV per atom; V = 11.24 A^3/atom
1.0
4.843 0.000 0.000
0.000 5.993 0.000
-0.711 0.000 10.846
Li Cu Sn P O
4 3 1 4 16
Direct
0.000 0.237 0.000
0.000 0.763 0.000
0.468 0.237 0.558
0.468 0.763 0.558
0.012 0.000 0.348
0.473 0.000 0.811
0.981 0.500 0.745
0.506 0.500 0.225
0.097 0.500 0.400
0.412 0.500 0.923
0.571 0.000 0.101
0.908 0.000 0.624
0.216 0.500 0.533
0.221 0.298 0.327
0.221 0.702 0.327
0.229 0.000 0.627
0.259 0.000 0.090
0.275 0.296 0.854
0.275 0.704 0.854
0.278 0.500 0.056
0.700 0.208 0.176
0.700 0.792 0.176
0.711 0.000 0.977
0.725 0.500 0.941
0.770 0.000 0.489
0.777 0.500 0.388
0.788 0.211 0.687
0.788 0.789 0.687

No. 5
Li2Pt2Br (GGA-PBE, optimized geometry); space group = No. 139; E_form (uncorrected) = -0.118 eV per atom; distance to the lowest polymorph of the same formula = 0.20 eV/f.u.; V = 20.33 A^3/atom
1.0
-2.614 2.614 3.720
2.614 -2.614 3.720
2.614 2.614 -3.720
Li Pt Br
2 2 1
Direct
0.250 0.750 0.500
0.750 0.250 0.500
0.164 0.164 0.000
0.836 0.836 0.000
0.500 0.500 0.000

No. 6
Sc5Si4 (GGA-PBE, optimized geometry); space group = No. 62; E_form (uncorrected) = -0.785 eV per atom; V = 18.92 A^3/atom
1.0
6.918 0.000 0.000
0.000 13.641 0.000
0.000 0.000 7.217
Sc Si
20 16
Direct
0.014 0.096 0.180
0.014 0.404 0.180
0.159 0.750 0.506
0.171 0.125 0.677
0.171 0.375 0.677
0.329 0.625 0.177
0.329 0.875 0.177
0.341 0.250 0.006
0.486 0.596 0.680
0.486 0.904 0.680
0.514 0.096 0.320
0.514 0.404 0.320
0.659 0.750 0.994
0.671 0.125 0.823
0.671 0.375 0.823
0.829 0.625 0.323
0.829 0.875 0.323
0.841 0.250 0.494
0.986 0.596 0.820
0.986 0.904 0.820
0.030 0.750 0.104
0.161 0.539 0.469
0.161 0.961 0.469
0.217 0.250 0.365
0.283 0.750 0.865
0.339 0.039 0.969
0.339 0.461 0.969
0.470 0.250 0.604
0.530 0.750 0.396
0.661 0.539 0.031
0.661 0.961 0.031
0.717 0.250 0.135
0.783 0.750 0.635
0.839 0.039 0.531
0.839 0.461 0.531
0.970 0.250 0.896

It is found that the raw total energy values, taken in the order of the records, are -2.891, -3.817, -6.311, -6.306, -3.634, -6.713 eV per atom.